1.
Material: Ti2Ge6Mo
Method: DFT, PBE
State: relaxed

Results
D(E_F) (states/eV/atom): 0.370
Energy (eV/atom): -6.372
Energy of formation (eV per atom): -0.336

Unit cell a=4.926 b=4.926 c=6.766 alpha=90.00 beta=90.00 gamma=120.04
Element x y z (fractional)
Ti1 0.000 0.500 0.166
Ti2 0.500 0.000 0.834
Ge1 0.174 0.338 0.832
Ge2 0.331 0.669 0.500
Ge3 0.338 0.174 0.168
Ge4 0.662 0.826 0.168
Ge5 0.669 0.331 0.500
Ge6 0.826 0.662 0.832
Mo1 0.000 0.000 0.500

2.
Material: Nd6SiTe3As2
Method: DFT, PBE
State: relaxed

Results
D(E_F) (states/eV/atom): 0.352
Energy (eV/atom): -5.809

Unit cell a=9.898 b=9.898 c=8.882 alpha=104.60 beta=104.60 gamma=25.39
Element x y z (fractional)
Nd1 0.005 0.005 0.232
Nd2 0.327 0.327 0.432
Nd3 0.342 0.342 0.904
Nd4 0.658 0.658 0.096
Nd5 0.673 0.673 0.568
Nd6 0.995 0.995 0.768
Si1 0.500 0.500 0.000
Te1 0.168 0.168 0.833
Te2 0.500 0.500 0.500
Te3 0.832 0.832 0.167
As1 0.167 0.167 0.334
As2 0.833 0.833 0.666

D(E_F) of number 2 (Nd6SiTe3As2)? 0.352 states/eV/atom